The following is a DFT calculation (PBE) of a relaxed Ac3Pr4Sm2 crystal.

- polymorph energy (0 for the lowest one) (meV/atom) = 87
- space-group type = C2/c, No. 15
- mass density (g cm⁻³) = 7.28
- formation energy from the elements (eV/atom) = 0.119

a b c (Å): 6.6463 10.4723 10.4723
angles (deg): 83.56 80.24 80.24
Last column: nearest neighbours and their distance in Å.
Sites, in units of the cell vectors:
Ac (0.0198, 0.1214, 0.7018)  5 Pr 3.60-3.93, 2 Sm 3.76-3.87, 2 Ac 4.00
Ac (0.9802, 0.8786, 0.2982)  5 Pr 3.60-3.93, 2 Sm 3.76-3.87, 2 Ac 4.00
Ac (0.2500, 0.5421, 0.4579)  2 Ac 3.52, 2 Pr 3.71, 2 Sm 3.78
Ac (0.5198, 0.7018, 0.1214)  5 Pr 3.60-3.93, 2 Sm 3.76-3.87, 2 Ac 4.00
Ac (0.4802, 0.2982, 0.8786)  5 Pr 3.60-3.93, 2 Sm 3.76-3.87, 2 Ac 4.00
Ac (0.7500, 0.4579, 0.5421)  2 Ac 3.52, 2 Pr 3.71, 2 Sm 3.78
Pr (0.5102, 0.0435, 0.1624)  5 Pr 3.39-3.71, 3 Ac 3.64-3.77
Pr (0.3766, 0.6420, 0.7864)  2 Pr 3.39-3.62, 3 Sm 3.56-3.71, 2 Ac 3.60-3.71
Pr (0.8766, 0.7864, 0.6420)  2 Pr 3.39-3.62, 3 Sm 3.56-3.71, 2 Ac 3.60-3.71
Pr (0.4898, 0.9565, 0.8376)  5 Pr 3.39-3.71, 3 Ac 3.64-3.77
Pr (0.1234, 0.2136, 0.3580)  2 Pr 3.39-3.62, 3 Sm 3.56-3.71, 2 Ac 3.60-3.71
Pr (0.6234, 0.3580, 0.2136)  2 Pr 3.39-3.62, 3 Sm 3.56-3.71, 2 Ac 3.60-3.71
Pr (0.9898, 0.8376, 0.9565)  5 Pr 3.39-3.71, 3 Ac 3.64-3.77
Pr (0.0102, 0.1624, 0.0435)  5 Pr 3.39-3.71, 3 Ac 3.64-3.77
Sm (0.8968, 0.5039, 0.8652)  1 Sm 3.33, 3 Pr 3.56-3.71
Sm (0.3968, 0.8652, 0.5039)  1 Sm 3.33, 3 Pr 3.56-3.71
Sm (0.6032, 0.1348, 0.4961)  1 Sm 3.33, 3 Pr 3.56-3.71
Sm (0.1032, 0.4961, 0.1348)  1 Sm 3.33, 3 Pr 3.56-3.71